# HgRhAu2 (PBE-GGA, optimized geometry)
# - ΔH_f (0 K): 0.232 eV/atom
# - Uncorrected energy: -3.32 eV per atom
data_HgRhAu2
_cell_length_a 2.9289
_cell_length_b 4.9771
_cell_length_c 9.9969
_cell_angle_alpha 90.00
_cell_angle_beta 90.00
_cell_angle_gamma 90.00
_symmetry_space_group_name_H-M 'C m m m'
_symmetry_Int_Tables_number 65
_symmetry_space_group_name_Hall '-C 2 2'
loop_
_atom_site_label
_atom_site_fract_x
_atom_site_fract_y
_atom_site_fract_z
Hg1 0.0000 0.0000 0.0000
Rh1 0.0000 0.0000 0.5000
Au1 0.0000 0.5000 0.2658


# Hg3RhAu (PBE-GGA, optimized geometry)
# - Excess energy over the best structure of this formula in the dataset: 0.0 meV/atom
# - ΔH_f (0 K): 0.483 eV/atom
# - Uncorrected energy: -1.82 eV per atom
data_Hg3RhAu
_cell_length_a 5.1935
_cell_length_b 5.1935
_cell_length_c 5.1935
_cell_angle_alpha 90.00
_cell_angle_beta 90.00
_cell_angle_gamma 90.00
_symmetry_space_group_name_H-M 'P m -3 m'
_symmetry_Int_Tables_number 221
_symmetry_space_group_name_Hall '-P 4 2 3'
loop_
_atom_site_label
_atom_site_fract_x
_atom_site_fract_y
_atom_site_fract_z
Hg1 0.0000 0.0000 0.5000
Rh1 0.0000 0.0000 0.0000
Au1 0.5000 0.5000 0.5000


# HgRh2Au (PBE-GGA, optimized geometry)
# - ΔH_f (0 K): 0.139 eV/atom
# - Uncorrected energy: -4.43 eV per atom
data_HgRh2Au
_cell_length_a 2.8824
_cell_length_b 2.8824
_cell_length_c 8.1299
_cell_angle_alpha 90.00
_cell_angle_beta 90.00
_cell_angle_gamma 90.00
_symmetry_space_group_name_H-M 'P 4 m m'
_symmetry_Int_Tables_number 99
_symmetry_space_group_name_Hall 'P 4 -2'
loop_
_atom_site_label
_atom_site_fract_x
_atom_site_fract_y
_atom_site_fract_z
Hg1 0.0000 0.0000 0.0000
Rh1 0.0000 0.0000 0.4646
Rh2 0.5000 0.5000 0.2563
Au1 0.5000 0.5000 0.7143


# HgRhAu2 (PBE-GGA, optimized geometry)
# - ΔH_f (0 K): 0.203 eV/atom
# - Uncorrected energy: -3.35 eV per atom
data_HgRhAu2
_cell_length_a 3.0007
_cell_length_b 4.9556
_cell_length_c 9.6836
_cell_angle_alpha 90.00
_cell_angle_beta 90.00
_cell_angle_gamma 90.00
_symmetry_space_group_name_H-M 'C m m 2'
_symmetry_Int_Tables_number 35
_symmetry_space_group_name_Hall 'C 2 -2'
loop_
_atom_site_label
_atom_site_fract_x
_atom_site_fract_y
_atom_site_fract_z
Hg1 0.0000 0.0000 0.0000
Rh1 0.0000 0.5000 0.2408
Au1 0.0000 0.0000 0.4796
Au2 0.0000 0.5000 0.7341


# HgRhAu3 (PBE-GGA, optimized geometry)
# - ΔH_f (0 K): 0.836 eV/atom
# - Uncorrected energy: -2.66 eV per atom
data_HgRhAu3
_cell_length_a 5.0504
_cell_length_b 5.0504
_cell_length_c 5.0504
_cell_angle_alpha 90.00
_cell_angle_beta 90.00
_cell_angle_gamma 90.00
_symmetry_space_group_name_H-M 'P m -3 m'
_symmetry_Int_Tables_number 221
_symmetry_space_group_name_Hall '-P 4 2 3'
loop_
_atom_site_label
_atom_site_fract_x
_atom_site_fract_y
_atom_site_fract_z
Hg1 0.0000 0.0000 0.0000
Rh1 0.5000 0.5000 0.5000
Au1 0.0000 0.5000 0.5000


# HgRh2Au (PBE-GGA, optimized geometry)
# - ΔH_f (0 K): 0.214 eV/atom
# - Uncorrected energy: -4.36 eV per atom
data_HgRh2Au
_cell_length_a 2.8856
_cell_length_b 2.8856
_cell_length_c 28.1518
_cell_angle_alpha 90.00
_cell_angle_beta 90.00
_cell_angle_gamma 120.00
_symmetry_space_group_name_H-M 'R 3 m'
_symmetry_Int_Tables_number 160
_symmetry_space_group_name_Hall 'R 3 -2"'
loop_
_atom_site_label
_atom_site_fract_x
_atom_site_fract_y
_atom_site_fract_z
Hg1 0.0000 0.0000 0.0000
Rh1 0.0000 0.0000 0.2481
Rh2 0.0000 0.0000 0.5085
Au1 0.0000 0.0000 0.7591


# HgRh2Au (PBE-GGA, optimized geometry)
# - ΔH_f (0 K): 0.173 eV/atom
# - Uncorrected energy: -4.40 eV per atom
data_HgRh2Au
_cell_length_a 2.8850
_cell_length_b 3.6958
_cell_length_c 6.3968
_cell_angle_alpha 90.00
_cell_angle_beta 90.00
_cell_angle_gamma 90.00
_symmetry_space_group_name_H-M 'P m m 2'
_symmetry_Int_Tables_number 25
_symmetry_space_group_name_Hall 'P 2 -2'
loop_
_atom_site_label
_atom_site_fract_x
_atom_site_fract_y
_atom_site_fract_z
Hg1 0.0000 0.0000 0.0000
Rh1 0.0000 0.0000 0.4609
Rh2 0.5000 0.5000 0.2691
Au1 0.5000 0.5000 0.7166


# HgRhAu2 (PBE-GGA, optimized geometry)
# - ΔH_f (0 K): 0.162 eV/atom
# - Uncorrected energy: -3.39 eV per atom
data_HgRhAu2
_cell_length_a 5.7364
_cell_length_b 8.1226
_cell_length_c 3.0563
_cell_angle_alpha 90.00
_cell_angle_beta 90.00
_cell_angle_gamma 90.00
_symmetry_space_group_name_H-M 'C m m m'
_symmetry_Int_Tables_number 65
_symmetry_space_group_name_Hall '-C 2 2'
loop_
_atom_site_label
_atom_site_fract_x
_atom_site_fract_y
_atom_site_fract_z
Hg1 0.0000 0.0000 0.0000
Rh1 0.0000 0.5000 0.0000
Au1 0.2500 0.2500 0.5000


# HgRh2Au (PBE-GGA, optimized geometry)
# - ΔH_f (0 K): 0.282 eV/atom
# - Uncorrected energy: -4.29 eV per atom
data_HgRh2Au
_cell_length_a 2.8899
_cell_length_b 4.7922
_cell_length_c 4.8812
_cell_angle_alpha 90.00
_cell_angle_beta 90.00
_cell_angle_gamma 90.00
_symmetry_space_group_name_H-M 'P m m m'
_symmetry_Int_Tables_number 47
_symmetry_space_group_name_Hall '-P 2 2'
loop_
_atom_site_label
_atom_site_fract_x
_atom_site_fract_y
_atom_site_fract_z
Hg1 0.0000 0.0000 0.0000
Rh1 0.0000 0.5000 0.5000
Rh2 0.5000 0.5000 0.0000
Au1 0.5000 0.0000 0.5000


# HgRh2Au (PBE-GGA, optimized geometry)
# - ΔH_f (0 K): 0.234 eV/atom
# - Uncorrected energy: -4.34 eV per atom
data_HgRh2Au
_cell_length_a 5.9588
_cell_length_b 7.4600
_cell_length_c 3.0110
_cell_angle_alpha 90.00
_cell_angle_beta 90.00
_cell_angle_gamma 90.00
_symmetry_space_group_name_H-M 'C m m m'
_symmetry_Int_Tables_number 65
_symmetry_space_group_name_Hall '-C 2 2'
loop_
_atom_site_label
_atom_site_fract_x
_atom_site_fract_y
_atom_site_fract_z
Hg1 0.0000 0.0000 0.0000
Rh1 0.2500 0.2500 0.5000
Au1 0.0000 0.5000 0.0000


# HgRhAu2 (PBE-GGA, optimized geometry)
# - ΔH_f (0 K): 0.304 eV/atom
# - Uncorrected energy: -3.25 eV per atom
data_HgRhAu2
_cell_length_a 3.9252
_cell_length_b 3.9252
_cell_length_c 20.1032
_cell_angle_alpha 90.00
_cell_angle_beta 90.00
_cell_angle_gamma 90.00
_symmetry_space_group_name_H-M 'I -4 2 d'
_symmetry_Int_Tables_number 122
_symmetry_space_group_name_Hall 'I -4 2bw'
loop_
_atom_site_label
_atom_site_fract_x
_atom_site_fract_y
_atom_site_fract_z
Hg1 0.0000 0.0000 0.0000
Rh1 0.0000 0.0000 0.5000
Au1 0.2438 0.2500 0.6250


# HgRhAu2 (PBE-GGA, optimized geometry)
# - ΔH_f (0 K): 0.149 eV/atom
# - Uncorrected energy: -3.40 eV per atom
data_HgRhAu2
_cell_length_a 9.4603
_cell_length_b 3.1544
_cell_length_c 4.9199
_cell_angle_alpha 90.00
_cell_angle_beta 103.07
_cell_angle_gamma 90.00
_symmetry_space_group_name_H-M 'C 1 m 1'
_symmetry_Int_Tables_number 8
_symmetry_space_group_name_Hall 'C -2y'
loop_
_atom_site_label
_atom_site_fract_x
_atom_site_fract_y
_atom_site_fract_z
Hg1 0.0000 0.0000 0.0000
Rh1 0.2459 0.5000 0.2323
Au1 0.2428 0.0000 0.7257
Au2 0.4899 0.0000 0.4857


Values for theoretical density, Mg/m³, ordered as above
15.894; 10.688; 14.833; 16.085; 11.529; 14.807; 14.690; 16.265; 14.821; 14.971; 14.956; 16.196